1.
La5TeSe4: relaxed, PBE-GGA.

Values from the calculation:
E_form (uncorrected) (meV per atom): -1900
Uncorrected energy (eV per atom): -6.072
DOS at the Fermi energy (states/eV per atom): 0.74
Symmetry: Immm, No. 71

Geometry as POSCAR:
```
La5TeSe4
1.0
-2.178 3.098 10.943
2.178 -3.098 10.943
2.178 3.098 -10.943
La Te Se
5 1 4
direct
0.000 0.000 0.000 La
0.199 0.199 0.000 La
0.393 0.393 0.000 La
0.607 0.607 0.000 La
0.801 0.801 0.000 La
0.500 0.000 0.500 Te
0.100 0.600 0.500 Se
0.296 0.796 0.500 Se
0.704 0.204 0.500 Se
0.900 0.400 0.500 Se
```

2.
SbBr2Cl: relaxed, PBE-GGA.

Values from the calculation:
E_form (uncorrected) (meV per atom): -87
Uncorrected energy (eV per atom): -2.416
DOS at the Fermi energy (states/eV per atom): 0.76
Symmetry: Cmm2, No. 35

Geometry as POSCAR:
```
SbBr2Cl
1.0
1.871 -3.155 0.000
1.871 3.155 0.000
0.000 0.000 11.138
Sb Br Cl
1 2 1
direct
0.000 0.000 0.000 Sb
0.000 0.000 0.500 Br
0.500 0.500 0.810 Br
0.500 0.500 0.174 Cl
```

3.
Pu2Si4Ni3Ir: relaxed, PBE-GGA.

Values from the calculation:
E_form (uncorrected) (meV per atom): -712
Uncorrected energy (eV per atom): -8.368
DOS at the Fermi energy (states/eV per atom): 2.45
Symmetry: P-4m2, No. 115

Geometry as POSCAR:
```
Pu2Si4Ni3Ir
1.0
3.988 0.000 0.000
0.000 3.988 0.000
0.000 0.000 9.714
Pu Si Ni Ir
2 4 3 1
direct
0.000 0.500 0.242 Pu
0.500 0.000 0.758 Pu
0.000 0.000 0.000 Si
0.000 0.500 0.639 Si
0.500 0.000 0.361 Si
0.500 0.500 0.000 Si
0.000 0.500 0.878 Ni
0.500 0.000 0.122 Ni
0.500 0.500 0.500 Ni
0.000 0.000 0.500 Ir
```

4.
Na2BeSiO4: relaxed, PBE-GGA.

Values from the calculation:
E_form (uncorrected) (meV per atom): -2259
Uncorrected energy (eV per atom): -6.211
DOS at the Fermi energy (states/eV per atom): 0.00
Symmetry: Fddd, No. 70

Geometry as POSCAR:
```
Na2BeSiO4
1.0
0.000 5.287 8.680
2.195 0.000 8.680
2.195 5.287 0.000
Na Be Si O
4 2 2 8
direct
0.049 0.049 0.701 Na
0.299 0.299 0.951 Na
0.701 0.701 0.049 Na
0.951 0.951 0.299 Na
0.125 0.125 0.125 Be
0.875 0.875 0.875 Be
0.375 0.375 0.375 Si
0.625 0.625 0.625 Si
0.010 0.335 0.412 O
0.257 0.588 0.665 O
0.335 0.010 0.743 O
0.412 0.743 0.010 O
0.588 0.257 0.990 O
0.665 0.990 0.257 O
0.743 0.412 0.335 O
0.990 0.665 0.588 O
```

5.
PaSiB2: relaxed, PBE-GGA.

Values from the calculation:
E_form (uncorrected) (meV per atom): -95
Uncorrected energy (eV per atom): -7.163
DOS at the Fermi energy (states/eV per atom): 0.60
Symmetry: R-3m, No. 166

Geometry as POSCAR:
```
PaSiB2
1.0
1.818 1.050 4.447
-1.818 1.050 4.447
0.000 -2.100 4.447
Pa Si B
1 1 2
direct
0.000 0.000 0.000 Pa
0.500 0.500 0.500 Si
0.205 0.205 0.205 B
0.795 0.795 0.795 B
```

6.
Nd2Er2S3: relaxed, PBE-GGA.

Values from the calculation:
E_form (uncorrected) (meV per atom): -1703
Uncorrected energy (eV per atom): -6.138
DOS at the Fermi energy (states/eV per atom): 0.45
Symmetry: P-1, No. 2

Geometry as POSCAR:
```
Nd2Er2S3
1.0
3.871 0.000 0.000
-1.928 6.474 0.000
0.000 -1.094 6.811
Nd Er S
2 2 3
direct
0.125 0.247 0.384 Nd
0.875 0.753 0.616 Nd
0.372 0.745 0.114 Er
0.628 0.255 0.886 Er
0.000 0.000 0.000 S
0.249 0.498 0.765 S
0.751 0.502 0.235 S
```

7.
Y5HgAu4: relaxed, PBE-GGA.

Values from the calculation:
Uncorrected energy (eV per atom): -5.364
ΔH_f (0 K) (meV/atom): -790
DOS at the Fermi energy (states/eV per atom): 0.60
Symmetry: P4/mmm, No. 123

Geometry as POSCAR:
```
Y5HgAu4
1.0
3.616 0.000 0.000
0.000 3.616 0.000
0.000 0.000 18.307
Y Hg Au
5 1 4
direct
0.000 0.000 0.000 Y
0.000 0.000 0.198 Y
0.000 0.000 0.394 Y
0.000 0.000 0.606 Y
0.000 0.000 0.802 Y
0.500 0.500 0.500 Hg
0.500 0.500 0.099 Au
0.500 0.500 0.297 Au
0.500 0.500 0.703 Au
0.500 0.500 0.901 Au
```

8.
ScAlAg3: relaxed, PBE-GGA.

Values from the calculation:
Uncorrected energy (eV per atom): -2.774
ΔH_f (0 K) (meV/atom): 952
DOS at the Fermi energy (states/eV per atom): 0.52
Symmetry: Pm-3m, No. 221

Geometry as POSCAR:
```
ScAlAg3
1.0
5.211 0.000 0.000
0.000 5.211 0.000
0.000 0.000 5.211
Sc Al Ag
1 1 3
direct
0.000 0.000 0.000 Sc
0.500 0.500 0.500 Al
0.000 0.000 0.500 Ag
0.000 0.500 0.000 Ag
0.500 0.000 0.000 Ag
```

9.
Ba2Fe2Bi: relaxed, PBE-GGA.

Values from the calculation:
Uncorrected energy (eV per atom): -4.511
ΔH_f (0 K) (meV/atom): 419
DOS at the Fermi energy (states/eV per atom): 3.20
Symmetry: P4/mbm, No. 127

Geometry as POSCAR:
```
Ba2Fe2Bi
1.0
7.311 0.000 0.000
0.000 7.311 0.000
0.000 0.000 5.051
Ba Fe Bi
4 4 2
direct
0.183 0.317 0.000 Ba
0.317 0.817 0.000 Ba
0.683 0.183 0.000 Ba
0.817 0.683 0.000 Ba
0.099 0.599 0.500 Fe
0.401 0.099 0.500 Fe
0.599 0.901 0.500 Fe
0.901 0.401 0.500 Fe
0.000 0.000 0.500 Bi
0.500 0.500 0.500 Bi
```

10.
AcNdGeRu: relaxed, PBE-GGA.

Values from the calculation:
Uncorrected energy (eV per atom): -5.907
ΔH_f (0 K) (meV/atom): -214
DOS at the Fermi energy (states/eV per atom): 0.64
Symmetry: F-43m, No. 216

Geometry as POSCAR:
```
AcNdGeRu
1.0
0.000 3.713 3.713
3.713 0.000 3.713
3.713 3.713 0.000
Ac Nd Ge Ru
1 1 1 1
direct
0.000 0.000 0.000 Ac
0.500 0.500 0.500 Nd
0.750 0.750 0.750 Ge
0.250 0.250 0.250 Ru
```

11.
Tb12Cu6Ru: relaxed, PBE-GGA.

Values from the calculation:
Uncorrected energy (eV per atom): -4.714
ΔH_f (0 K) (meV/atom): -8
DOS at the Fermi energy (states/eV per atom): 1.09
Symmetry: R-3, No. 148

Geometry as POSCAR:
```
Tb12Cu6Ru
1.0
6.127 3.538 4.001
-6.127 3.538 4.001
0.000 -7.075 4.001
Tb Cu Ru
12 6 1
direct
0.033 0.916 0.679 Tb
0.084 0.321 0.967 Tb
0.190 0.567 0.417 Tb
0.321 0.967 0.084 Tb
0.417 0.190 0.567 Tb
0.433 0.583 0.810 Tb
0.567 0.417 0.190 Tb
0.583 0.810 0.433 Tb
0.679 0.033 0.916 Tb
0.810 0.433 0.583 Tb
0.916 0.679 0.033 Tb
0.967 0.084 0.321 Tb
0.128 0.311 0.627 Cu
0.311 0.627 0.128 Cu
0.373 0.872 0.689 Cu
0.627 0.128 0.311 Cu
0.689 0.373 0.872 Cu
0.872 0.689 0.373 Cu
0.000 0.000 0.000 Ru
```

12.
Cu2Ni8Sn3: relaxed, PBE-GGA.

Values from the calculation:
Uncorrected energy (eV per atom): -4.991
ΔH_f (0 K) (meV/atom): 121
DOS at the Fermi energy (states/eV per atom): 1.13
Symmetry: R-3m, No. 166

Geometry as POSCAR:
```
Cu2Ni8Sn3
1.0
2.391 1.380 9.261
-2.391 1.380 9.261
0.000 -2.761 9.261
Cu Ni Sn
2 8 3
direct
0.138 0.138 0.138 Cu
0.862 0.862 0.862 Cu
0.224 0.224 0.224 Ni
0.234 0.234 0.730 Ni
0.234 0.730 0.234 Ni
0.270 0.766 0.766 Ni
0.730 0.234 0.234 Ni
0.766 0.270 0.766 Ni
0.766 0.766 0.270 Ni
0.776 0.776 0.776 Ni
0.313 0.313 0.313 Sn
0.500 0.500 0.500 Sn
0.687 0.687 0.687 Sn
```